Entry 1:
A relaxed structure of MnNi4Te. Source: the Alexandria database, functional PBE-GGA.

a = 4.8403 Å, b = 4.8403 Å, c = 4.8403 Å
α = 60.00°, β = 60.00°, γ = 60.00°
Element x y z (fractional)
Mn (0.0000, 0.0000, 0.0000)
Ni (0.6258, 0.6258, 0.1225)
Ni (0.6258, 0.1225, 0.6258)
Ni (0.6258, 0.6258, 0.6258)
Ni (0.1225, 0.6258, 0.6258)
Te (0.2500, 0.2500, 0.2500)

ΔE_f (raw), eV per atom: 0.097


Entry 2:
A relaxed structure of Mn2NiTe. Source: the Alexandria database, functional PBE-GGA.

a = 4.8781 Å, b = 4.8781 Å, c = 4.8781 Å
α = 133.84°, β = 133.83°, γ = 67.35°
Element x y z (fractional)
Mn (0.0000, 0.0000, 0.0000)
Mn (0.7500, 0.2500, 0.5000)
Ni (0.5000, 0.5000, 0.0000)
Te (0.2500, 0.7500, 0.5000)

ΔE_f (raw), eV per atom: 0.199


Entry 3:
A relaxed structure of MnNi2Te4. Source: the Alexandria database, functional PBE-GGA.

a = 7.6829 Å, b = 7.6829 Å, c = 10.8432 Å
α = 90.00°, β = 90.00°, γ = 90.00°
Element x y z (fractional)
Mn (0.0000, 0.7578, 0.5000)
Mn (0.2422, 0.0000, 0.7500)
Mn (0.7578, 0.0000, 0.2500)
Mn (0.0000, 0.2422, 0.0000)
Ni (0.7391, 0.7391, 0.8750)
Ni (0.2609, 0.7391, 0.1250)
Ni (0.7391, 0.2609, 0.6250)
Ni (0.2609, 0.2609, 0.3750)
Ni (0.7550, 0.5000, 0.2500)
Ni (0.5000, 0.2450, 0.0000)
Ni (0.5000, 0.7550, 0.5000)
Ni (0.2450, 0.5000, 0.7500)
Te (0.2551, 0.9934, 0.5026)
Te (0.7449, 0.9934, 0.4974)
Te (0.0066, 0.2551, 0.7526)
Te (0.7449, 0.0066, 0.0026)
Te (0.2536, 0.4796, 0.9899)
Te (0.5204, 0.2536, 0.2399)
Te (0.4796, 0.7464, 0.7399)
Te (0.2536, 0.5204, 0.5101)
Te (0.7464, 0.4796, 0.0101)
Te (0.7464, 0.5204, 0.4899)
Te (0.4796, 0.2536, 0.7601)
Te (0.5204, 0.7464, 0.2601)
Te (0.9934, 0.2551, 0.2474)
Te (0.2551, 0.0066, 0.9974)
Te (0.9934, 0.7449, 0.2526)
Te (0.0066, 0.7449, 0.7474)

ΔE_f (raw), eV per atom: -0.191


Entry 4:
A relaxed structure of Mn2NiTe. Source: the Alexandria database, functional PBE-GGA.

a = 4.8204 Å, b = 4.8204 Å, c = 4.8217 Å
α = 134.30°, β = 134.29°, γ = 66.61°
Element x y z (fractional)
Mn (0.0000, 0.0000, 0.0000)
Mn (0.5000, 0.5000, 0.0000)
Ni (0.7500, 0.2500, 0.5000)
Te (0.2500, 0.7500, 0.5000)

ΔE_f (raw), eV per atom: 0.137


Entry 5:
A relaxed structure of Mn2NiTe. Source: the Alexandria database, functional PBE-GGA.

a = 3.6322 Å, b = 3.6322 Å, c = 9.3049 Å
α = 78.75°, β = 78.75°, γ = 90.00°
Element x y z (fractional)
Ni (0.5000, 0.5000, 0.0000)
Ni (0.2500, 0.7500, 0.5000)
Te (0.0000, 0.0000, 0.0000)
Te (0.7500, 0.2500, 0.5000)
Mn (0.5416, 0.1250, 0.2500)
Mn (0.2084, 0.6250, 0.2500)
Mn (0.3750, 0.4584, 0.7500)
Mn (0.8750, 0.7916, 0.7500)

ΔE_f (raw), eV per atom: 0.511


Entry 6:
A relaxed structure of MnTl2NiTe. Source: the Alexandria database, functional PBE-GGA.

a = 5.0925 Å, b = 4.9006 Å, c = 5.0925 Å
α = 90.00°, β = 90.00°, γ = 90.00°
Element x y z (fractional)
Ni (0.0000, 0.0000, 0.0000)
Tl (0.0000, 0.0000, 0.5000)
Tl (0.5000, 0.0000, 0.0000)
Te (0.5000, 0.5000, 0.5000)
Mn (0.0000, 0.5000, 0.0000)

ΔE_f (raw), eV per atom: 0.243


Entry 7:
A relaxed structure of MnV2NiTe. Source: the Alexandria database, functional PBE-GGA.

a = 4.8479 Å, b = 4.5620 Å, c = 4.8479 Å
α = 90.00°, β = 90.00°, γ = 90.00°
Element x y z (fractional)
Ni (0.5000, 0.5000, 0.5000)
Te (0.0000, 0.0000, 0.0000)
Mn (0.0000, 0.5000, 0.0000)
V (0.0000, 0.0000, 0.5000)
V (0.5000, 0.0000, 0.0000)

ΔE_f (raw), eV per atom: 1.743


Entry 8:
A relaxed structure of Mn2VNiTe. Source: the Alexandria database, functional PBE-GGA.

a = 4.8069 Å, b = 4.5609 Å, c = 4.8069 Å
α = 90.00°, β = 90.00°, γ = 90.00°
Element x y z (fractional)
Ni (0.0000, 0.5000, 0.0000)
Te (0.0000, 0.0000, 0.0000)
Mn (0.0000, 0.0000, 0.5000)
Mn (0.5000, 0.0000, 0.0000)
V (0.5000, 0.5000, 0.5000)

ΔE_f (raw), eV per atom: 1.350


Entry 9:
A relaxed structure of MnZn2NiTe. Source: the Alexandria database, functional PBE-GGA.

a = 4.7540 Å, b = 4.5242 Å, c = 4.7540 Å
α = 90.00°, β = 90.00°, γ = 90.00°
Element x y z (fractional)
Ni (0.0000, 0.5000, 0.0000)
Zn (0.0000, 0.0000, 0.5000)
Zn (0.5000, 0.0000, 0.0000)
Te (0.5000, 0.5000, 0.5000)
Mn (0.0000, 0.0000, 0.0000)

ΔE_f (raw), eV per atom: 0.699


Entry 10:
A relaxed structure of MnZnNiTe2. Source: the Alexandria database, functional PBE-GGA.

a = 5.2616 Å, b = 4.4183 Å, c = 5.2616 Å
α = 90.00°, β = 90.00°, γ = 90.00°
Element x y z (fractional)
Ni (0.0000, 0.5000, 0.0000)
Zn (0.0000, 0.0000, 0.0000)
Te (0.0000, 0.0000, 0.5000)
Te (0.5000, 0.0000, 0.0000)
Mn (0.5000, 0.5000, 0.5000)

ΔE_f (raw), eV per atom: 0.740


Entry 11:
A relaxed structure of ZrMn2NiTe. Source: the Alexandria database, functional PBE-GGA.

a = 4.8712 Å, b = 4.6535 Å, c = 4.8712 Å
α = 90.00°, β = 90.00°, γ = 90.00°
Element x y z (fractional)
Ni (0.0000, 0.5000, 0.0000)
Te (0.5000, 0.5000, 0.5000)
Zr (0.0000, 0.0000, 0.0000)
Mn (0.0000, 0.0000, 0.5000)
Mn (0.5000, 0.0000, 0.0000)

ΔE_f (raw), eV per atom: 1.185


Entry 12:
A relaxed structure of ThMnNi. Source: the Alexandria database, functional PBE-GGA.

a = 3.9755 Å, b = 4.1216 Å, c = 4.1216 Å
α = 120.00°, β = 90.00°, γ = 90.00°
Element x y z (fractional)
Ni (0.1668, 0.6667, 0.3333)
Mn (0.1666, 0.0000, 0.0000)
Th (0.6666, 0.3333, 0.6667)

Formation energy, eV/atom: -0.127


How do the records compare in N(E_F)? In the order shown, they have 1.127 0.945 0.627 0.854 1.060 0.350 1.781 1.505 0.887 0.605 1.152 1.103 states/eV per atom.
How do the records compare in M_tot? In the order shown, they have 5.4 6.9 2.8 5.6 0.0 4.7 4.7 7.9 3.7 4.9 6.1 2.7 μB per formula unit.